Entry 1:
First-principles (PBE) data for an optimized crystal structure of HfCd2NiB, as listed in the Alexandria database.

abc: 4.7724 4.7724 4.6838
angles: 90.00 90.00 90.00
Last column: nearest neighbours and their distance in Å.
Space group P4/mmm (No. 123)
Inequivalent atoms, fractional coordinates:
Hf 0.0000 0.0000 0.0000 [1 per cell]  2 Ni 2.34
Cd 0.0000 0.5000 0.5000 [2 per cell]  2 Ni 2.39
Ni 0.0000 0.0000 0.5000 [1 per cell]  2 Hf 2.34, 4 Cd 2.39
B 0.5000 0.5000 0.0000 [1 per cell]  8 Cd 3.34, 4 Hf 3.37

Calculated values
Formation energy from the elements ... 1.028 eV/atom
Distance to the lowest polymorph of the same formula ... 0.0 kJ per mole of atoms
DFT total energy ... -19.10 eV per formula unit
Crystal system ... tetragonal

Entry 2:
First-principles (PBE) data for an optimized crystal structure of HfCd2NiB, as listed in the Alexandria database.

abc: 5.6435 5.6435 4.5354
angles: 90.00 90.00 90.00
Last column: nearest neighbours and their distance in Å.
Space group P4/mmm (No. 123)
Inequivalent atoms, fractional coordinates:
Hf 0.0000 0.0000 0.0000 [1 per cell]  2 Ni 2.27
Cd 0.0000 0.5000 0.0000 [2 per cell]  2 Hf 2.82
Ni 0.0000 0.0000 0.5000 [1 per cell]  2 Hf 2.27
B 0.5000 0.5000 0.5000 [1 per cell]  8 Cd 3.62, 4 Ni 3.99

Calculated values
Formation energy from the elements ... 1.883 eV/atom
Distance to the lowest polymorph of the same formula ... 82.5 kJ per mole of atoms
DFT total energy ... -14.83 eV per formula unit
Crystal system ... tetragonal

Entry 3:
First-principles (PBE) data for an optimized crystal structure of Hf2CdNiB, as listed in the Alexandria database.

abc: 5.1052 5.1052 4.5116
angles: 90.00 90.00 90.00
Last column: nearest neighbours and their distance in Å.
Space group P4/mmm (No. 123)
Inequivalent atoms, fractional coordinates:
Hf 0.0000 0.5000 0.0000 [2 per cell]  2 Cd 2.55
Cd 0.0000 0.0000 0.0000 [1 per cell]  2 Ni 2.26
Ni 0.0000 0.0000 0.5000 [1 per cell]  2 Cd 2.26
B 0.5000 0.5000 0.5000 [1 per cell]  8 Hf 3.41, 4 Ni 3.61

Calculated values
Formation energy from the elements ... 1.986 eV/atom
DFT total energy ... -23.35 eV per formula unit
Crystal system ... tetragonal

Q: Which N(E_F) values were calculated for the entries above? A: 2.5; 6.1; 6.6, in states/eV/f.u..